1.
## CoBMo (meta-GGA SCAN)

Data for a crystal of CoBMo relaxed with PBEsol.

The structure in POSCAR format:
```
CoBMo
1.0
5.6798 0.0000 0.0000
0.0000 3.2120 0.0000
0.0000 0.0000 6.5365
Co B Mo
4 4 4
Cartesian
0.8140 0.8030 0.3765
2.0259 2.4090 3.6447
3.6539 0.8030 2.8917
4.8658 2.4090 6.1600
1.2948 2.4090 5.7196
1.5451 0.8030 2.4514
4.1347 2.4090 4.0851
4.3850 0.8030 0.8169
0.1566 0.8030 4.4064
2.6833 2.4090 1.1382
2.9965 0.8030 5.3983
5.5231 2.4090 2.1300
```

Output
For the final energy, the calculation gives -242.898 eV for the cell shown. Its density of states at the Fermi level is 0.3030 states/eV per atom. The space group is Pnma. The value obtained for the formation energy is -368 meV/atom.

***

2.
## CoB3Mo (meta-GGA SCAN)

Data for a crystal of CoB3Mo relaxed with PBEsol.

The structure in POSCAR format:
```
CoB3Mo
1.0
3.6430 0.0000 0.0000
0.0000 3.6430 0.0000
0.0000 0.0000 3.6430
Co B Mo
1 3 1
Cartesian
0.0000 0.0000 0.0000
0.0000 0.0000 1.8215
0.0000 1.8215 0.0000
1.8215 0.0000 0.0000
1.8215 1.8215 1.8215
```

Output
For the final energy, the calculation gives -69.868 eV for the cell shown. Its density of states at the Fermi level is 0.6190 states/eV per atom. The space group is Pm-3m. The value obtained for the formation energy is 922 meV/atom.

***

3.
## CoBN2 (meta-GGA SCAN)

Data for a crystal of CoBN2 relaxed with PBEsol.

The structure in POSCAR format:
```
CoBN2
1.0
-2.0310 2.0310 3.5901
2.0310 -2.0310 3.5901
2.0310 2.0310 -3.5901
Co B N
2 2 4
Cartesian
0.0000 0.0000 0.0000
0.0000 2.0310 1.7950
2.0310 0.0000 1.7950
0.0000 0.0000 3.5901
1.0155 -0.7624 2.6926
1.2685 1.0155 0.8975
1.0155 2.7934 -0.8975
0.7624 1.0155 4.4876
```

Output
For the final energy, the calculation gives -89.678 eV for the cell shown. Its density of states at the Fermi level is 0.1088 states/eV per atom. The space group is I-42d.

***

4.
## CoBTeN2 (meta-GGA SCAN)

Data for a crystal of CoBTeN2 relaxed with PBEsol.

The structure in POSCAR format:
```
CoBTeN2
1.0
3.4566 0.0000 0.0000
0.0000 3.4566 0.0000
0.0000 0.0000 5.7114
Co B Te N
1 1 1 2
Cartesian
0.0000 0.0000 0.0000
1.7283 1.7283 2.8557
0.0000 0.0000 2.8557
0.0000 1.7283 0.0000
1.7283 0.0000 0.0000
```

Output
For the final energy, the calculation gives -73.140 eV for the cell shown. Its density of states at the Fermi level is 0.6922 states/eV per atom. The space group is P4/mmm.

***

5.
## CoBTe2N (meta-GGA SCAN)

Data for a crystal of CoBTe2N relaxed with PBEsol.

The structure in POSCAR format:
```
CoBTe2N
1.0
5.4630 0.0000 0.0000
0.0000 5.4630 0.0000
0.0000 0.0000 2.7682
Co B Te N
1 1 2 1
Cartesian
0.0000 0.0000 0.0000
2.7315 2.7315 1.3841
0.0000 2.7315 1.3841
2.7315 0.0000 1.3841
2.7315 2.7315 0.0000
```

Output
For the final energy, the calculation gives -105.985 eV for the cell shown. Its density of states at the Fermi level is 0.7968 states/eV per atom. The space group is P4/mmm.

***

6.
## Na2CoB (meta-GGA SCAN)

Data for a crystal of Na2CoB relaxed with PBEsol.

The structure in POSCAR format:
```
Na2CoB
1.0
0.0000 3.1539 3.1539
3.1539 0.0000 3.1539
3.1539 3.1539 0.0000
Na Co B
2 1 1
Cartesian
1.5769 1.5769 1.5769
4.7308 4.7308 4.7308
0.0000 0.0000 0.0000
3.1539 3.1539 3.1539
```

Output
For the final energy, the calculation gives -28.060 eV for the cell shown. Its density of states at the Fermi level is 0.6293 states/eV per atom. The space group is Fm-3m. The value obtained for the formation energy is 1276 meV/atom.

***

7.
## Na3CoB (meta-GGA SCAN)

Data for a crystal of Na3CoB relaxed with PBEsol.

The structure in POSCAR format:
```
Na3CoB
1.0
5.1686 0.0000 0.0000
0.0000 5.1686 0.0000
0.0000 0.0000 5.1686
Na Co B
3 1 1
Cartesian
0.0000 0.0000 2.5843
0.0000 2.5843 0.0000
2.5843 0.0000 0.0000
0.0000 0.0000 0.0000
2.5843 2.5843 2.5843
```

Output
For the final energy, the calculation gives -29.911 eV for the cell shown. Its density of states at the Fermi level is 0.5607 states/eV per atom. The space group is Pm-3m. The value obtained for the formation energy is 1493 meV/atom.

***

8.
## Na3CoBSO7 (meta-GGA SCAN)

Data for a crystal of Na3CoBSO7 relaxed with PBEsol.

The structure in POSCAR format:
```
Na3CoBSO7
1.0
5.2053 0.0000 0.0000
0.0000 6.6480 0.0000
-0.1617 0.0000 8.9025
Na Co B S O
6 2 2 2 14
Cartesian
1.2111 0.0455 2.2708
1.2111 3.2785 2.2708
1.2092 1.6620 5.0247
3.8344 4.9860 3.8778
3.8326 3.3695 6.6316
3.8326 6.6025 6.6316
1.0938 4.9860 7.4408
3.9498 1.6620 1.4617
1.2970 4.9860 5.0324
3.7466 1.6620 3.8701
1.3307 1.6620 8.1799
3.7129 4.9860 0.7226
0.0624 4.9860 5.6784
0.7230 1.6620 0.5460
0.9885 0.4712 7.3519
0.9885 2.8528 7.3519
1.4588 4.9860 3.6873
2.2465 4.9860 0.4141
2.3746 4.9860 5.9342
2.6691 1.6620 2.9682
2.7971 1.6620 8.4884
3.5849 1.6620 5.2152
4.0551 3.7952 1.5506
4.0551 6.1767 1.5506
4.3206 4.9860 8.3565
4.9812 1.6620 3.2241
```

Output
For the final energy, the calculation gives -231.864 eV for the cell shown. The space group is P2_1/m.

***

9.
## Na6Co2B4SO16 (meta-GGA SCAN)

Data for a crystal of Na6Co2B4SO16 relaxed with PBEsol.

The structure in POSCAR format:
```
Na6Co2B4SO16
1.0
0.0000 6.8269 6.8269
6.8269 0.0000 6.8269
6.8269 6.8269 0.0000
Na Co B S O
12 4 8 2 32
Cartesian
5.1202 5.1202 1.2782
5.1202 1.2782 5.1202
8.9622 5.1202 5.1202
8.5337 8.5337 4.6916
8.5337 4.6916 8.5337
12.3757 8.5337 8.5337
1.2782 5.1202 5.1202
5.1202 8.9622 5.1202
5.1202 5.1202 8.9622
4.6916 8.5337 8.5337
8.5337 12.3757 8.5337
8.5337 8.5337 12.3757
6.8269 3.4135 3.4135
3.4135 6.8269 3.4135
3.4135 3.4135 6.8269
6.8269 6.8269 6.8269
3.9796 3.9796 3.9796
6.2608 6.2608 3.9796
6.2608 3.9796 6.2608
9.6742 7.3931 7.3931
3.9796 6.2608 6.2608
7.3931 9.6742 7.3931
7.3931 7.3931 9.6742
9.6742 9.6742 9.6742
1.7067 1.7067 1.7067
11.9471 11.9471 11.9471
0.8455 0.8455 0.8455
2.5679 2.5679 0.8455
2.5679 0.8455 2.5679
5.0014 3.7117 3.0939
7.1465 5.2390 3.7117
6.5287 3.0939 5.2390
0.8455 2.5679 2.5679
5.2390 6.5287 3.0939
3.7117 3.0939 5.0014
7.1465 5.0014 6.5287
8.6525 7.1252 6.5073
10.5600 8.4148 7.1252
9.9422 6.5073 8.4148
3.0939 5.0014 3.7117
6.5287 7.1465 5.0014
5.2390 3.7117 7.1465
8.4148 9.9422 6.5073
7.1252 6.5073 8.6525
10.5600 8.6525 9.9422
3.7117 7.1465 5.2390
3.0939 5.2390 6.5287
5.0014 6.5287 7.1465
6.5073 8.6525 7.1252
9.9422 10.5600 8.6525
8.4148 7.1252 10.5600
12.8083 11.0859 11.0859
7.1252 10.5600 8.4148
6.5073 8.4148 9.9422
8.6525 9.9422 10.5600
11.0859 12.8083 11.0859
11.0859 11.0859 12.8083
12.8083 12.8083 12.8083
```

Output
For the final energy, the calculation gives -516.834 eV for the cell shown. Its density of states at the Fermi level is 0.1467 states/eV per atom. The space group is Fd-3.

***

10.
## NaCo2TcB (meta-GGA SCAN)

Data for a crystal of NaCo2TcB relaxed with PBEsol.

The structure in POSCAR format:
```
NaCo2TcB
1.0
4.0378 0.0000 0.0000
0.0000 4.0378 0.0000
0.0000 0.0000 4.5265
Na Co Tc B
1 2 1 1
Cartesian
0.0000 0.0000 0.0000
0.0000 2.0189 0.0000
2.0189 0.0000 0.0000
0.0000 0.0000 2.2632
2.0189 2.0189 2.2632
```

Output
For the final energy, the calculation gives -67.519 eV for the cell shown. Its density of states at the Fermi level is 0.5772 states/eV per atom. The space group is P4/mmm. The value obtained for the formation energy is 2759 meV/atom.

***

11.
## Nb3Co4B7 (meta-GGA SCAN)

Data for a crystal of Nb3Co4B7 relaxed with PBEsol.

The structure in POSCAR format:
```
Nb3Co4B7
1.0
1.5872 -9.1252 0.0000
1.5872 9.1252 0.0000
0.0000 0.0000 8.8215
Nb Co B
6 8 14
Cartesian
1.5872 7.6457 4.8963
1.5872 7.6457 8.3359
1.5872 5.5090 2.2054
1.5872 -5.5090 6.6161
1.5872 -7.6457 0.4856
1.5872 -7.6457 3.9252
1.5872 8.3571 2.2054
1.5872 3.6351 4.4535
1.5872 3.6351 8.7787
1.5872 2.8558 2.2054
1.5872 -2.8558 6.6161
1.5872 -3.6351 0.0428
1.5872 -3.6351 4.3680
1.5872 -8.3571 6.6161
1.5872 5.2920 5.6792
1.5872 5.2920 7.5530
1.5872 2.0106 5.7110
1.5872 2.0106 7.5212
1.5872 0.8231 2.2054
1.5872 0.2829 5.2377
1.5872 0.2829 7.9945
1.5872 -0.2829 0.8270
1.5872 -0.2829 3.5837
1.5872 -0.8231 6.6161
1.5872 -2.0106 1.3002
1.5872 -2.0106 3.1105
1.5872 -5.2920 1.2684
1.5872 -5.2920 3.1423
```

Output
For the final energy, the calculation gives -456.337 eV for the cell shown. Its density of states at the Fermi level is 0.5370 states/eV per atom. The space group is Cmcm. The value obtained for the formation energy is -540 meV/atom.

***

12.
## Nb2CoB2 (meta-GGA SCAN)

Data for a crystal of Nb2CoB2 relaxed with PBEsol.

The structure in POSCAR format:
```
Nb2CoB2
1.0
5.7664 0.0000 0.0000
0.0000 5.7664 0.0000
0.0000 0.0000 3.3387
Nb Co B
4 2 4
Cartesian
1.0454 1.8378 0.0000
1.8378 4.7210 0.0000
3.9286 1.0454 0.0000
4.7210 3.9286 0.0000
0.0000 0.0000 1.6693
2.8832 2.8832 1.6693
0.6410 3.5242 1.6693
2.2422 0.6410 1.6693
3.5242 5.1254 1.6693
5.1254 2.2422 1.6693
```

Output
For the final energy, the calculation gives -203.032 eV for the cell shown. Its density of states at the Fermi level is 0.2464 states/eV per atom. The space group is P4/mbm. The value obtained for the formation energy is -619 meV/atom.

***

Q: Look up the final energy of the fourth one.
A: -73.140 eV for the cell shown